TcRh2 | the Alexandria database | GGA-PBEsol | optimized geometry; SG = Pnma, No. 62; ΔE to the lowest computed polymorph = 25 meV per atom
1.0
4.291 0.000 0.000
0.000 4.658 0.000
0.000 0.000 8.109
Rh Tc
8 4
Cartesian
3.218 3.896 6.766
3.218 3.867 4.044
1.073 3.121 8.099
1.073 3.092 2.711
3.218 1.566 5.398
3.218 1.537 0.010
1.073 0.792 4.065
1.073 0.763 1.343
3.218 3.857 1.356
1.073 3.131 5.410
3.218 1.527 2.699
1.073 0.802 6.754



ScS2I | the Alexandria database | GGA-PBEsol | optimized geometry; SG = R-3m, No. 166; raw formation energy = -4.43 eV/f.u.; ΔE to the lowest computed polymorph = 0 meV per atom
1.0
3.858 0.000 0.000
1.929 3.341 0.000
1.929 1.114 7.813
I Sc S
1 1 2
Cartesian
0.000 0.000 0.000
3.858 2.227 3.907
5.787 3.341 2.597
1.929 1.114 5.216



Zn2AgAu | the Alexandria database | GGA-PBEsol | optimized geometry; SG = P1, No. 1; ΔE to the lowest computed polymorph = 4 meV per atom
1.0
-3.441 1.514 0.354
-0.343 -1.602 3.471
3.566 3.470 -0.159
Zn Au Ag
2 1 1
Cartesian
-0.345 -1.600 3.470
-0.885 2.465 1.053
0.670 0.916 2.617
1.671 3.426 1.752



La2AlZn2 | the Alexandria database | GGA-PBEsol | optimized geometry; SG = I4/mmm, No. 139; ΔE to the lowest computed polymorph = 269 meV per atom
1.0
5.546 -0.004 -0.005
-2.398 5.001 0.005
-2.398 -1.979 4.592
Zn Al La
2 1 2
Cartesian
-3.146 1.982 3.015
-1.651 1.040 1.582
0.000 0.000 0.000
0.375 3.254 1.149
0.375 -0.236 3.443



Sr2LiTl | the Alexandria database | GGA-PBEsol | optimized geometry; SG = R3m, No. 160; ΔE to the lowest computed polymorph = 70 meV per atom
1.0
-2.838 -3.596 -1.808
0.561 -4.622 1.605
-5.544 -1.540 5.059
Sr Tl Li
2 1 1
Cartesian
-2.776 -8.094 0.332
-5.360 -7.446 3.100
-3.313 -5.029 1.788
-2.560 -2.288 1.862



NaLiRe2Ir | the Alexandria database | GGA-PBEsol | optimized geometry; SG = P4/mmm, No. 123; uncorrected energy = -0.46354 Ry per atom
1.0
3.822 0.000 0.000
0.000 4.261 0.000
0.000 0.000 4.261
Re Ir Li Na
2 1 1 1
Cartesian
0.000 0.000 2.131
0.000 2.131 0.000
1.911 2.131 2.131
0.000 0.000 0.000
1.911 0.000 0.000



MgB2SeI | the Alexandria database | GGA-PBEsol | optimized geometry; SG = P4/mmm, No. 123; raw formation energy = 8.74 eV/f.u.
1.0
-1.634 -4.024 0.126
2.363 -0.849 3.546
-4.347 1.870 3.345
I Mg B Se
1 1 2 1
Cartesian
0.000 0.000 0.000
-2.173 0.935 1.672
1.182 -0.424 1.773
-0.817 -2.012 0.063
-1.809 -1.501 3.508



LaZr2Ge2 | the Alexandria database | GGA-PBEsol | optimized geometry; SG = I4/mmm, No. 139; ΔE to the lowest computed polymorph = 356 meV per atom
1.0
5.105 0.000 0.000
0.000 5.105 0.000
-2.553 -2.553 4.627
Ge Zr La
2 2 1
Cartesian
0.000 2.553 2.313
2.553 0.000 2.313
0.000 0.000 3.073
2.553 2.553 1.553
0.000 0.000 0.000



In the order shown, the computed total magnetization values come out to 0.002, 0.000, 0.000, 0.004, 0.000, 0.003, 0.001, 0.001 μB per cell.